(1)
This record from Alexandria describes crystalline Sc3Te2Pb at its relaxed geometry. The functional is PBE-GGA.

Cell: 7.255 7.255 13.882 Å, 110.16 110.16 70.54°
Atoms (fractional coordinates):
Sc 0.040 0.285 0.581
Sc 0.118 0.882 0.750
Sc 0.203 0.459 0.919
Sc 0.285 0.040 0.081
Sc 0.368 0.632 0.250
Sc 0.459 0.203 0.419
Sc 0.541 0.797 0.581
Sc 0.632 0.368 0.750
Sc 0.715 0.960 0.919
Sc 0.797 0.541 0.081
Sc 0.882 0.118 0.250
Sc 0.960 0.715 0.419
Te 0.126 0.376 0.252
Te 0.293 0.543 0.585
Te 0.376 0.126 0.752
Te 0.457 0.707 0.915
Te 0.543 0.293 0.085
Te 0.624 0.874 0.248
Te 0.707 0.457 0.415
Te 0.874 0.624 0.748
Pb 0.042 0.792 0.083
Pb 0.208 0.958 0.417
Pb 0.792 0.042 0.583
Pb 0.958 0.208 0.917

Values from the calculation:
Symmetry   C2/c (15)
Energy relative to the elements, uncorrected   -0.89 eV per atom
ΔE to the lowest computed polymorph   0.000 eV/atom
N(E_F)   9.915 states/eV per cell

(2)
This record from Alexandria describes crystalline BeTlAgSe2 at its relaxed geometry. The functional is PBE-GGA.

Cell: 7.365 5.035 7.417 Å, 90.00 101.07 90.00°
Atoms (fractional coordinates):
Be 0.000 0.000 0.000
Be 0.000 0.000 0.500
Tl 0.500 0.214 0.250
Tl 0.500 0.786 0.750
Ag 0.000 0.436 0.250
Ag 0.000 0.564 0.750
Se 0.220 0.252 0.559
Se 0.220 0.748 0.059
Se 0.780 0.252 0.941
Se 0.780 0.748 0.441

Values from the calculation:
Symmetry   P2/c (13)
Energy relative to the elements, uncorrected   -0.30 eV per atom